# 1
# MgZn2Ir

A geometry-optimized MgZn2Ir structure (GGA-PBEsol, Alexandria).

Cell: 3.7569 3.7569 8.1147 Å, 90.00 90.00 90.00°
Closest atoms and distances in Å follow each position.
Space group I-4m2 (No. 119)
One atom of each set of equivalent atoms:
Mg: 0.0000 0.0000 0.0000  8 Zn 2.66-2.76, 4 Ir 2.76
Zn: 0.0000 0.0000 0.5000  4 Mg 2.66, 4 Ir 2.76, 4 Zn 2.76
Zn: 0.0000 0.5000 0.2500  4 Ir 2.66, 4 Mg 2.76, 4 Zn 2.76
Ir: 0.0000 0.5000 0.7500  8 Zn 2.66-2.76, 4 Mg 2.76

- Total energy: -3.9191 eV/atom
- V: 114.53 Å³/cell
- Energy of formation from the pure elements: -0.243 eV/atom

# 2
# MgZnIr2

A geometry-optimized MgZnIr2 structure (GGA-PBEsol, Alexandria).

Cell: 8.6630 2.7965 4.8265 Å, 90.00 101.04 90.00°
Closest atoms and distances in Å follow each position.
Space group C2/m (No. 12)
One atom of each set of equivalent atoms:
Mg: 0.0000 0.0000 0.0000  6 Ir 2.68-2.71, 4 Zn 2.79, 2 Mg 2.80
Zn: 0.0000 0.5000 0.5000  6 Ir 2.62-2.67, 4 Mg 2.79, 2 Zn 2.80
Ir: 0.2453 0.0000 0.7373  3 Zn 2.62-2.67, 3 Mg 2.68-2.71, 6 Ir 2.70-2.88

- Total energy: -5.9306 eV/atom
- V: 114.76 Å³/cell
- Energy of formation from the pure elements: -0.194 eV/atom

# 3
# MgZrIr

A geometry-optimized MgZrIr structure (GGA-PBEsol, Alexandria).

Cell: 4.5081 4.5081 2.9627 Å, 90.00 90.00 120.00°
Closest atoms and distances in Å follow each position.
Space group P3m1 (No. 156)
One atom of each set of equivalent atoms:
Mg: 0.0000 0.0000 0.0000  3 Ir 2.71, 3 Zr 2.90, 2 Mg 2.96
Zr: 0.6667 0.3333 0.5687  3 Ir 2.76, 3 Mg 2.90, 2 Zr 2.96
Ir: 0.3333 0.6667 0.2558  3 Mg 2.71, 3 Zr 2.76, 2 Ir 2.96

- Total energy: -7.2452 eV/atom
- V: 52.14 Å³/cell
- Energy of formation from the pure elements: -0.368 eV/atom

# 4
# Mg2ZrIr

A geometry-optimized Mg2ZrIr structure (GGA-PBEsol, Alexandria).

Cell: 5.4898 10.1188 2.9864 Å, 90.00 118.25 90.00°
Closest atoms and distances in Å follow each position.
Space group C2/m (No. 12)
One atom of each set of equivalent atoms:
Mg: 0.2500 0.2500 0.0000  6 Mg 2.74-2.99, 2 Zr 2.93, 2 Ir 2.93
Zr: 0.0000 0.0000 0.5000  4 Ir 2.74-2.95, 4 Mg 2.93, 2 Zr 2.99
Ir: 0.0000 0.5000 0.5000  4 Zr 2.74-2.95, 4 Mg 2.93, 2 Ir 2.99

- Total energy: -5.6611 eV/atom
- V: 146.13 Å³/cell
- Energy of formation from the pure elements: -0.074 eV/atom

# 5
# Mg2ZrIr

A geometry-optimized Mg2ZrIr structure (GGA-PBEsol, Alexandria).

Cell: 3.9088 3.9088 4.6811 Å, 90.00 90.00 90.00°
Closest atoms and distances in Å follow each position.
Space group P4/mmm (No. 123)
One atom of each set of equivalent atoms:
Mg: 0.0000 0.5000 0.0000  4 Mg 2.76, 4 Ir 3.05, 4 Zr 3.05
Zr: 0.0000 0.0000 0.5000  4 Ir 2.76, 8 Mg 3.05
Ir: 0.5000 0.5000 0.5000  4 Zr 2.76, 8 Mg 3.05

- Total energy: -5.9115 eV/atom
- V: 71.52 Å³/cell
- Energy of formation from the pure elements: -0.325 eV/atom

# 6
# Mg2ZrIr

A geometry-optimized Mg2ZrIr structure (GGA-PBEsol, Alexandria).

Cell: 6.5400 6.5400 6.5400 Å, 90.00 90.00 90.00°
Closest atoms and distances in Å follow each position.
Space group F-43m (No. 216)
One atom of each set of equivalent atoms:
Mg: 0.0000 0.0000 0.0000  4 Mg 2.83, 4 Zr 2.83
Mg: 0.2500 0.2500 0.2500  4 Mg 2.83, 4 Ir 2.83
Zr: 0.2500 0.2500 0.7500  4 Mg 2.83, 4 Ir 2.83
Ir: 0.0000 0.0000 0.5000  4 Zr 2.83, 4 Mg 2.83

- Total energy: -5.9497 eV/atom
- V: 279.73 Å³/cell
- Energy of formation from the pure elements: -0.363 eV/atom

# 7
# Mg2ZrIr

A geometry-optimized Mg2ZrIr structure (GGA-PBEsol, Alexandria).

Cell: 2.9345 4.3612 5.5298 Å, 90.00 90.00 90.00°
Closest atoms and distances in Å follow each position.
Space group Pmmm (No. 47)
One atom of each set of equivalent atoms:
Mg: 0.0000 0.0000 0.2299  1 Mg 2.54
Zr: 0.5000 0.5000 0.5000  2 Ir 2.76, 2 Zr 2.93, 8 Mg 3.02
Ir: 0.5000 0.5000 0.0000  2 Zr 2.76, 8 Mg 2.92, 2 Ir 2.93

- Total energy: -5.7193 eV/atom
- V: 70.77 Å³/cell
- Energy of formation from the pure elements: -0.132 eV/atom

# 8
# Mg2ZrIr

A geometry-optimized Mg2ZrIr structure (GGA-PBEsol, Alexandria).

Cell: 3.1393 3.1393 7.7712 Å, 90.00 90.00 90.00°
Closest atoms and distances in Å follow each position.
Space group P4mm (No. 99)
One atom of each set of equivalent atoms:
Mg: 0.0000 0.0000 0.0000  4 Ir 2.75
Mg: 0.5000 0.5000 0.2808  8 Mg 3.11-3.14, 4 Zr 3.25
Zr: 0.0000 0.0000 0.5859  4 Ir 2.73
Ir: 0.5000 0.5000 0.7913  4 Zr 2.73, 4 Mg 2.75

- Total energy: -5.9222 eV/atom
- V: 76.59 Å³/cell
- Energy of formation from the pure elements: -0.335 eV/atom

# 9
# MnIr8

A geometry-optimized MnIr8 structure (GGA-PBEsol, Alexandria).

Cell: 8.0759 8.0759 3.8054 Å, 90.00 90.00 90.00°
Closest atoms and distances in Å follow each position.
Space group I4/mmm (No. 139)
One atom of each set of equivalent atoms:
Mn: 0.0000 0.0000 0.0000  12 Ir 2.67
Ir: 0.0000 0.3312 0.0000  1 Mn 2.67, 11 Ir 2.68-2.73
Ir: 0.1639 0.1639 0.5000  10 Ir 2.65-2.74, 2 Mn 2.67

- Total energy: -9.8739 eV/atom
- V: 248.18 Å³/cell
- Energy of formation from the pure elements: -0.057 eV/atom

# 10
# MnIr

A geometry-optimized MnIr structure (GGA-PBEsol, Alexandria).

Cell: 3.6542 3.6542 7.4538 Å, 90.00 90.00 90.00°
Closest atoms and distances in Å follow each position.
Space group I4_1/amd (No. 141, origin choice 2)
One atom of each set of equivalent atoms:
Mn: 0.0000 0.2500 0.3750  8 Ir 2.58-2.61, 4 Mn 2.61
Ir: 0.0000 0.2500 0.8750  8 Mn 2.58-2.61, 4 Ir 2.61

- Total energy: -9.8864 eV/atom
- V: 99.53 Å³/cell
- Energy of formation from the pure elements: -0.094 eV/atom

# 11
# MnIr2

A geometry-optimized MnIr2 structure (GGA-PBEsol, Alexandria).

Cell: 2.6558 3.7020 7.9900 Å, 90.00 90.00 90.00°
Closest atoms and distances in Å follow each position.
Space group Immm (No. 71)
One atom of each set of equivalent atoms:
Mn: 0.0000 0.0000 0.0000  10 Ir 2.62-2.69, 2 Mn 2.66
Ir: 0.0000 0.0000 0.3369  7 Ir 2.61-2.67, 5 Mn 2.62-2.69

- Total energy: -9.8893 eV/atom
- V: 78.56 Å³/cell
- Energy of formation from the pure elements: -0.087 eV/atom

# 12
# MnIr

A geometry-optimized MnIr structure (GGA-PBEsol, Alexandria).

Cell: 2.9964 2.9964 2.9964 Å, 90.00 90.00 90.00°
Closest atoms and distances in Å follow each position.
Space group Pm-3m (No. 221)
One atom of each set of equivalent atoms:
Mn: 0.0000 0.0000 0.0000  8 Ir 2.59
Ir: 0.5000 0.5000 0.5000  8 Mn 2.59

- Total energy: -9.8010 eV/atom
- V: 26.90 Å³/cell
- Energy of formation from the pure elements: -0.009 eV/atom

# 13
# MnIr

A geometry-optimized MnIr structure (GGA-PBEsol, Alexandria).

Cell: 4.9014 4.9014 4.9014 Å, 90.00 90.00 90.00°
Closest atoms and distances in Å follow each position.
Space group Fm-3m (No. 225)
One atom of each set of equivalent atoms:
Mn: 0.0000 0.0000 0.0000  6 Ir 2.45
Ir: 0.0000 0.0000 0.5000  6 Mn 2.45

- Total energy: -8.9590 eV/atom
- V: 117.75 Å³/cell
- Energy of formation from the pure elements: 0.833 eV/atom

# 14
# Mn3Ir

A geometry-optimized Mn3Ir structure (GGA-PBEsol, Alexandria).

Cell: 2.5721 8.0394 4.3861 Å, 90.00 90.00 90.00°
Closest atoms and distances in Å follow each position.
Space group Imm2 (No. 44)
One atom of each set of equivalent atoms:
Mn: 0.0000 0.0000 0.0000  8 Mn 2.46-2.57, 4 Ir 2.53-2.56
Mn: 0.0000 0.2547 0.6627  9 Mn 2.46-2.57, 3 Ir 2.48-2.52
Ir: 0.0000 0.5000 0.0043  10 Mn 2.48-2.56, 2 Ir 2.57

- Total energy: -9.8645 eV/atom
- V: 90.70 Å³/cell
- Energy of formation from the pure elements: -0.088 eV/atom

# 15
# MnIr

A geometry-optimized MnIr structure (GGA-PBEsol, Alexandria).

Cell: 2.8614 2.8614 6.0634 Å, 90.00 90.00 90.00°
Closest atoms and distances in Å follow each position.
Space group P4/nmm (No. 129, origin choice 2)
One atom of each set of equivalent atoms:
Mn: 0.2500 0.2500 0.0804  4 Mn 2.25
Ir: 0.2500 0.2500 0.6561  5 Mn 2.57-2.58, 8 Ir 2.77-2.86

- Total energy: -9.6303 eV/atom
- V: 49.65 Å³/cell
- Energy of formation from the pure elements: 0.162 eV/atom